No. 1
The following is a PBE calculation of an optimized crystal structure of Ho2TmAg2, from Alexandria via LeMat-Bulk.

abc: 13.459 13.459 5.193
angles: 90.00 90.00 164.61
Positions (direct):
1 Ho 0.047 0.953 0.750
2 Ho 0.234 0.766 0.750
3 Ho 0.766 0.234 0.250
4 Ho 0.953 0.047 0.250
5 Tm 0.146 0.854 0.250
6 Tm 0.854 0.146 0.750
7 Ag 0.358 0.642 0.250
8 Ag 0.452 0.548 0.750
9 Ag 0.548 0.452 0.250
10 Ag 0.642 0.358 0.750

Computed properties:
* crystal system: orthorhombic
* formation energy: -0.245 eV/atom
* raw total energy: -4.111 eV/atom
* polymorph energy (0 for the lowest one): 0 kJ/mol of formula units

=====

No. 2
The following is a PBE calculation of an optimized crystal structure of Nd3Y2Zn2, from Alexandria via LeMat-Bulk.

abc: 6.751 6.751 9.235
angles: 114.27 114.27 32.64
Positions (direct):
1 Nd 0.000 0.000 0.000
2 Nd 0.109 0.109 0.437
3 Nd 0.891 0.891 0.563
4 Y 0.348 0.348 0.185
5 Y 0.652 0.652 0.815
6 Zn 0.319 0.319 0.778
7 Zn 0.681 0.681 0.222

Computed properties:
* crystal system: monoclinic
* formation energy: -0.141 eV/atom
* raw total energy: -4.395 eV/atom
* polymorph energy (0 for the lowest one): 0 kJ/mol of formula units

=====

No. 3
The following is a PBE calculation of an optimized crystal structure of PrTm5Pb5, from Alexandria via LeMat-Bulk.

abc: 8.368 8.368 7.418
angles: 101.77 101.77 44.02
Positions (direct):
1 Pr 0.000 0.000 0.000
2 Tm 0.000 0.000 0.500
3 Tm 0.332 0.332 0.154
4 Tm 0.350 0.350 0.655
5 Tm 0.650 0.650 0.345
6 Tm 0.668 0.668 0.846
7 Pb 0.171 0.171 0.348
8 Pb 0.172 0.172 0.808
9 Pb 0.500 0.500 0.000
10 Pb 0.828 0.828 0.192
11 Pb 0.829 0.829 0.652

Computed properties:
* crystal system: monoclinic
* formation energy: -0.223 eV/atom
* raw total energy: -4.376 eV/atom

=====

No. 4
The following is a PBE calculation of an optimized crystal structure of CaSc5Tl3, from Alexandria via LeMat-Bulk.

abc: 8.846 8.846 6.460
angles: 90.00 90.00 120.00
Positions (direct):
1 Ca 0.000 0.000 0.000
2 Ca 0.000 0.000 0.500
3 Sc 0.000 0.340 0.250
4 Sc 0.000 0.660 0.750
5 Sc 0.333 0.667 0.000
6 Sc 0.333 0.667 0.500
7 Sc 0.340 0.000 0.250
8 Sc 0.340 0.340 0.750
9 Sc 0.660 0.000 0.750
10 Sc 0.660 0.660 0.250
11 Sc 0.667 0.333 0.000
12 Sc 0.667 0.333 0.500
13 Tl 0.000 0.333 0.750
14 Tl 0.000 0.667 0.250
15 Tl 0.333 0.000 0.750
16 Tl 0.333 0.333 0.250
17 Tl 0.667 0.000 0.250
18 Tl 0.667 0.667 0.750

Computed properties:
* crystal system: hexagonal
* formation energy: -0.255 eV/atom
* raw total energy: -4.784 eV/atom

=====

No. 5
The following is a PBE calculation of an optimized crystal structure of Ba12Sb5O3, from Alexandria via LeMat-Bulk.

abc: 16.358 16.358 16.358
angles: 109.47 109.47 109.47
Positions (direct):
1 Ba 0.044 0.622 0.377
2 Ba 0.044 0.923 0.668
3 Ba 0.077 0.245 0.122
4 Ba 0.077 0.332 0.956
5 Ba 0.122 0.077 0.245
6 Ba 0.122 0.544 0.877
7 Ba 0.123 0.745 0.668
8 Ba 0.123 0.878 0.456
9 Ba 0.168 0.245 0.623
10 Ba 0.168 0.423 0.544
11 Ba 0.245 0.122 0.077
12 Ba 0.245 0.623 0.168
13 Ba 0.255 0.332 0.877
14 Ba 0.255 0.423 0.378
15 Ba 0.332 0.877 0.255
16 Ba 0.332 0.956 0.077
17 Ba 0.377 0.044 0.622
18 Ba 0.377 0.832 0.755
19 Ba 0.378 0.255 0.423
20 Ba 0.378 0.623 0.956
21 Ba 0.423 0.378 0.255
22 Ba 0.423 0.544 0.168
23 Ba 0.456 0.123 0.878
24 Ba 0.456 0.832 0.577
25 Ba 0.544 0.168 0.423
26 Ba 0.544 0.877 0.122
27 Ba 0.577 0.456 0.832
28 Ba 0.577 0.622 0.745
29 Ba 0.622 0.377 0.044
30 Ba 0.622 0.745 0.577
31 Ba 0.623 0.168 0.245
32 Ba 0.623 0.956 0.378
33 Ba 0.668 0.044 0.923
34 Ba 0.668 0.123 0.745
35 Ba 0.745 0.577 0.622
36 Ba 0.745 0.668 0.123
37 Ba 0.755 0.377 0.832
38 Ba 0.755 0.878 0.923
39 Ba 0.832 0.577 0.456
40 Ba 0.832 0.755 0.377
41 Ba 0.877 0.122 0.544
42 Ba 0.877 0.255 0.332
43 Ba 0.878 0.456 0.123
44 Ba 0.878 0.923 0.755
45 Ba 0.923 0.668 0.044
46 Ba 0.923 0.755 0.878
47 Ba 0.956 0.077 0.332
48 Ba 0.956 0.378 0.623
49 Sb 0.000 0.000 0.000
50 Sb 0.000 0.000 0.500
51 Sb 0.000 0.500 0.000
52 Sb 0.000 0.500 0.500
53 Sb 0.125 0.750 0.875
54 Sb 0.125 0.875 0.250
55 Sb 0.250 0.125 0.875
56 Sb 0.250 0.625 0.375
57 Sb 0.375 0.250 0.625
58 Sb 0.375 0.625 0.750
59 Sb 0.500 0.000 0.000
60 Sb 0.500 0.000 0.500
61 Sb 0.500 0.500 0.000
62 Sb 0.500 0.500 0.500
63 Sb 0.625 0.375 0.250
64 Sb 0.625 0.750 0.375
65 Sb 0.750 0.375 0.625
66 Sb 0.750 0.875 0.125
67 Sb 0.875 0.125 0.750
68 Sb 0.875 0.250 0.125
69 O 0.125 0.250 0.375
70 O 0.125 0.375 0.750
71 O 0.250 0.375 0.125
72 O 0.250 0.875 0.625
73 O 0.375 0.125 0.250
74 O 0.375 0.750 0.125
75 O 0.625 0.250 0.875
76 O 0.625 0.875 0.750
77 O 0.750 0.125 0.375
78 O 0.750 0.625 0.875
79 O 0.875 0.625 0.250
80 O 0.875 0.750 0.625

Computed properties:
* formation energy from raw total energies: -15.62 eV per formula unit
* crystal system: cubic
* raw total energy: -3.709 eV/atom

=====

No. 6
The following is a PBE calculation of an optimized crystal structure of Np6N5, from Alexandria via LeMat-Bulk.

abc: 5.895 5.895 5.892
angles: 99.69 99.69 119.92
Positions (direct):
1 Np 0.081 0.408 0.746
2 Np 0.243 0.243 0.250
3 Np 0.408 0.081 0.746
4 Np 0.592 0.919 0.254
5 Np 0.757 0.757 0.750
6 Np 0.919 0.592 0.254
7 N 0.177 0.823 0.000
8 N 0.335 0.665 0.500
9 N 0.500 0.500 0.000
10 N 0.665 0.335 0.500
11 N 0.823 0.177 0.000

Computed properties:
* formation energy from raw total energies: -9.72 eV per formula unit
* crystal system: monoclinic
* raw total energy: -11.727 eV/atom